Entry 1:
# Mg2Tl3CuF9

A geometry-optimized Mg2Tl3CuF9 structure (PBE, the Alexandria database).

Values from the calculation:
- E_form (uncorrected) (eV per atom) = -2.41

Geometry as CIF:
```
data_Mg2Tl3CuF9
_chemical_formula_sum 'Mg2 Tl3 Cu1 F9'
_symmetry_space_group_name_H-M 'P -3 m 1'
_symmetry_Int_Tables_number 164
_symmetry_space_group_name_Hall '-P 3 2"'
_cell_length_a 5.8724
_cell_length_b 5.8724
_cell_length_c 7.1987
_cell_angle_alpha 90.00
_cell_angle_beta 90.00
_cell_angle_gamma 120.00
loop_
_atom_site_label
_atom_site_fract_x
_atom_site_fract_y
_atom_site_fract_z
_atom_site_occupancy
Mg1 0.3333 0.6667 0.1613 1
Tl1 0.0000 0.0000 0.0000 1
Tl2 0.3333 0.6667 0.6616 1
Cu1 0.0000 0.0000 0.5000 1
F1 0.0000 0.5000 0.0000 1
F2 0.1680 0.3359 0.3317 1
```


Entry 2:
# MgTl2Cu3F12

A geometry-optimized MgTl2Cu3F12 structure (PBE, the Alexandria database).

Values from the calculation:
- E_form (uncorrected) (eV per atom) = -1.90

Geometry as CIF:
```
data_MgTl2Cu3F12
_chemical_formula_sum 'Mg3 Tl6 Cu9 F36'
_symmetry_space_group_name_H-M 'R -3 m'
_symmetry_Int_Tables_number 166
_symmetry_space_group_name_Hall '-R 3 2"'
_cell_length_a 7.3072
_cell_length_b 7.3072
_cell_length_c 17.5361
_cell_angle_alpha 90.00
_cell_angle_beta 90.00
_cell_angle_gamma 120.00
loop_
_atom_site_label
_atom_site_fract_x
_atom_site_fract_y
_atom_site_fract_z
_atom_site_occupancy
Mg1 0.0000 0.0000 0.0000 1
Tl1 0.0000 0.0000 0.3668 1
Cu1 0.0000 0.5000 0.5000 1
F1 0.0657 0.5329 0.6064 1
F2 0.0710 0.5355 0.8572 1
```


Entry 3:
# MgTl2Cu2F6

A geometry-optimized MgTl2Cu2F6 structure (PBE, the Alexandria database).

Values from the calculation:
- E_form (uncorrected) (eV per atom) = -1.96

Geometry as CIF:
```
data_MgTl2Cu2F6
_chemical_formula_sum 'Mg2 Tl4 Cu4 F12'
_symmetry_space_group_name_H-M 'C 1 2/m 1'
_symmetry_Int_Tables_number 12
_cell_length_a 10.866
_cell_length_b 5.730
_cell_length_c 7.000
_cell_angle_alpha 90.00
_cell_angle_beta 127.33
_cell_angle_gamma 90.00
loop_
_symmetry_equiv_pos_as_xyz
'x,y,z'
'-x,-y,-z'
'-x,y,-z'
'x,-y,z'
'x+1/2,y+1/2,z'
'-x+1/2,-y+1/2,-z'
'-x+1/2,y+1/2,-z'
'x+1/2,-y+1/2,z'
loop_
_atom_site_label
_atom_site_fract_x
_atom_site_fract_y
_atom_site_fract_z
_atom_site_occupancy
Mg1 0.000 0.000 0.000 1
Tl1 0.222 0.000 0.756 1
Cu1 0.081 0.500 0.411 1
F1 0.045 0.249 0.845 1
F2 0.229 0.000 0.273 1
```


Computed values of total magnetization (unit: μB per cell) for the preceding records, in sequence: 1.1, 15.0, 0.3.